This record from Alexandria via LeMat-Bulk describes a relaxed structure of BaNaTcO4. The functional is GGA-PBE.

- DFT total energy (eV/atom) = -6.234
- magnetization (μB per atom) = 0.263
- E_form (uncorrected) (eV per atom) = -1.457
- Fermi-level density of states (states/eV per cell) = 15.8
- calculated density (g cm⁻³) = 2.95

Cell lengths 8.9890, 8.9890, 8.9890 Å; angles 90.00, 90.00, 90.00 degrees
Space group F-43m (No. 216)
One atom of each set of equivalent atoms:
Ba  0.0000  0.0000  0.0000 [4 per cell]
Na  0.2500  0.2500  0.7500 [4 per cell]
Tc  0.0000  0.0000  0.5000 [4 per cell]
O  0.1166  0.1166  0.6166 [16 per cell]